Entry 1:
# Zn16Tc

A geometry-optimized Zn16Tc structure (PBE, Alexandria via LeMat-Bulk).

abc: 6.8469 6.8469 11.4867
angles: 90.00 90.00 111.28
Closest atoms and distances in Å follow each position.
Fractional coordinates of all 34 atoms:
1 Zn 0.0000 0.0000 0.0000  10 Zn 2.59-2.78
2 Zn 0.0000 0.0000 0.5000  10 Zn 2.59-2.78
3 Zn 0.0226 0.6449 0.0718  7 Zn 2.49-2.75
4 Zn 0.0226 0.6449 0.4282  7 Zn 2.49-2.75
5 Zn 0.1796 0.8204 0.6398  9 Zn 2.53-2.75
6 Zn 0.1796 0.8204 0.8602  9 Zn 2.53-2.75
7 Zn 0.1956 0.4753 0.7500  9 Zn 2.49-2.79
8 Zn 0.2301 0.3446 0.1344  7 Zn 2.62-2.78, 1 Tc 2.85
9 Zn 0.2301 0.3446 0.3656  7 Zn 2.62-2.78, 1 Tc 2.85
10 Zn 0.2909 0.7091 0.2500  8 Zn 2.68-2.72, 1 Tc 2.75
11 Zn 0.3446 0.2301 0.6344  7 Zn 2.62-2.78, 1 Tc 2.85
12 Zn 0.3446 0.2301 0.8656  7 Zn 2.62-2.78, 1 Tc 2.85
13 Zn 0.3551 0.9774 0.0718  7 Zn 2.49-2.75
14 Zn 0.3551 0.9774 0.4282  7 Zn 2.49-2.75
15 Zn 0.3870 0.6130 0.5357  12 Zn 2.63-2.86
16 Zn 0.3870 0.6130 0.9643  12 Zn 2.63-2.86
17 Zn 0.4753 0.1956 0.2500  9 Zn 2.49-2.79
18 Zn 0.5247 0.8044 0.7500  9 Zn 2.49-2.79
19 Zn 0.6130 0.3870 0.0357  12 Zn 2.63-2.86
20 Zn 0.6130 0.3870 0.4643  12 Zn 2.63-2.86
21 Zn 0.6449 0.0226 0.5718  7 Zn 2.49-2.75
22 Zn 0.6449 0.0226 0.9282  7 Zn 2.49-2.75
23 Zn 0.6554 0.7699 0.1344  7 Zn 2.62-2.78, 1 Tc 2.85
24 Zn 0.6554 0.7699 0.3656  7 Zn 2.62-2.78, 1 Tc 2.85
25 Zn 0.7091 0.2909 0.7500  8 Zn 2.68-2.72, 1 Tc 2.75
26 Zn 0.7699 0.6554 0.6344  7 Zn 2.62-2.78, 1 Tc 2.85
27 Zn 0.7699 0.6554 0.8656  7 Zn 2.62-2.78, 1 Tc 2.85
28 Zn 0.8044 0.5247 0.2500  9 Zn 2.49-2.79
29 Zn 0.8204 0.1796 0.1398  9 Zn 2.53-2.75
30 Zn 0.8204 0.1796 0.3602  9 Zn 2.53-2.75
31 Zn 0.9774 0.3551 0.5718  7 Zn 2.49-2.75
32 Zn 0.9774 0.3551 0.9282  7 Zn 2.49-2.75
33 Tc 0.0473 0.9527 0.2500  15 Zn 2.75-2.92
34 Tc 0.9527 0.0473 0.7500  15 Zn 2.75-2.92

***

Entry 2:
# TbErSi3

A geometry-optimized TbErSi3 structure (PBE, Alexandria via LeMat-Bulk).

Summary:
As for the formation energy from raw total energies: -327.9 kJ/mol of formula units.

abc: 12.4140 12.4140 3.9325
angles: 90.00 90.00 160.91
Closest atoms and distances in Å follow each position.
Fractional coordinates of all 10 atoms:
1 Tb 0.0701 0.9299 0.7500  12 Si 3.05-3.36
2 Tb 0.9299 0.0701 0.2500  12 Si 3.05-3.36
3 Er 0.2031 0.7969 0.2500  7 Si 2.90-2.91
4 Er 0.7969 0.2031 0.7500  7 Si 2.90-2.91
5 Si 0.3215 0.6785 0.2500  2 Si 2.43
6 Si 0.3801 0.6199 0.7500  3 Si 2.32-2.43
7 Si 0.4749 0.5251 0.7500  3 Si 2.32
8 Si 0.5251 0.4749 0.2500  3 Si 2.32
9 Si 0.6199 0.3801 0.2500  3 Si 2.32-2.43
10 Si 0.6785 0.3215 0.7500  2 Si 2.43

***

Entry 3:
# TlV3H

A geometry-optimized TlV3H structure (PBE, Alexandria via LeMat-Bulk).

Summary:
The value obtained for the energy above the most stable polymorph in this dataset is 47.03 kcal/mol of atoms.

abc: 5.2010 5.2010 5.2010
angles: 90.00 90.00 90.00
Closest atoms and distances in Å follow each position.
Fractional coordinates of all 5 atoms:
1 Tl 0.0000 0.0000 0.0000  6 V 2.60
2 V 0.0000 0.0000 0.5000  2 Tl 2.60
3 V 0.0000 0.5000 0.0000  2 Tl 2.60
4 V 0.5000 0.0000 0.0000  2 Tl 2.60
5 H 0.5000 0.5000 0.5000  12 V 3.68

***

Entry 4:
# U2Te5

A geometry-optimized U2Te5 structure (PBE, Alexandria via LeMat-Bulk).

Summary:
As for the formation energy from raw total energies: -392.0 kJ/mol of formula units. The value obtained for the energy above the most stable polymorph in this dataset is 0.00 kcal/mol of atoms.

abc: 17.7559 17.7559 6.1519
angles: 95.29 95.29 13.60
Closest atoms and distances in Å follow each position.
Fractional coordinates of all 14 atoms:
1 U 0.0518 0.0518 0.0273  8 Te 3.09-3.22
2 U 0.3565 0.3565 0.4229  8 Te 3.10-3.22
3 U 0.6435 0.6435 0.5771  8 Te 3.10-3.22
4 U 0.9482 0.9482 0.9727  8 Te 3.09-3.22
5 Te 0.0786 0.0786 0.5419  4 U 3.10-3.22
6 Te 0.1954 0.1954 0.3725  1 Te 2.82, 2 U 3.13
7 Te 0.1968 0.1968 0.8318  1 Te 2.82, 2 U 3.14
8 Te 0.3836 0.3836 0.9379  4 U 3.09-3.22
9 Te 0.5000 0.5000 0.2514  2 Te 3.06-3.09, 4 U 3.18
10 Te 0.5000 0.5000 0.7486  2 Te 3.06-3.09, 4 U 3.18
11 Te 0.6164 0.6164 0.0621  4 U 3.09-3.22
12 Te 0.8032 0.8032 0.1682  1 Te 2.82, 2 U 3.14
13 Te 0.8046 0.8046 0.6275  1 Te 2.82, 2 U 3.13
14 Te 0.9214 0.9214 0.4581  4 U 3.10-3.22

***

Entry 5:
# LiYHfCo

A geometry-optimized LiYHfCo structure (PBE, Alexandria via LeMat-Bulk).

abc: 4.6920 4.6920 4.6920
angles: 60.00 60.00 60.00
Closest atoms and distances in Å follow each position.
Fractional coordinates of all 4 atoms:
1 Li 0.0000 0.0000 0.0000  4 Hf 2.87, 4 Y 2.87
2 Y 0.2500 0.2500 0.2500  4 Co 2.87, 4 Li 2.87
3 Hf 0.7500 0.7500 0.7500  4 Li 2.87, 4 Co 2.87
4 Co 0.5000 0.5000 0.5000  4 Hf 2.87, 4 Y 2.87

***

Entry 6:
# BaLaMg

A geometry-optimized BaLaMg structure (PBE, Alexandria via LeMat-Bulk).

Summary:
The value obtained for the energy above the most stable polymorph in this dataset is 6.12 kcal/mol of atoms.

abc: 5.7609 5.7609 8.3068
angles: 90.00 90.00 90.00
Closest atoms and distances in Å follow each position.
Fractional coordinates of all 6 atoms:
1 Ba 0.2500 0.7500 0.0000  4 Mg 3.69, 4 Ba 4.07
2 Ba 0.7500 0.2500 0.0000  4 Mg 3.69, 4 Ba 4.07
3 La 0.2500 0.7500 0.5000  4 Mg 3.42
4 La 0.7500 0.2500 0.5000  4 Mg 3.42
5 Mg 0.2500 0.2500 0.2784  4 La 3.42, 4 Ba 3.69
6 Mg 0.7500 0.7500 0.7216  4 La 3.42, 4 Ba 3.69

***

Entry 7:
# CdPb2Au

A geometry-optimized CdPb2Au structure (PBE, Alexandria via LeMat-Bulk).

abc: 3.7198 3.7198 7.5236
angles: 90.00 90.00 90.00
Closest atoms and distances in Å follow each position.
Fractional coordinates of all 4 atoms:
1 Cd 0.0000 0.0000 0.0000  8 Pb 3.33, 4 Cd 3.72
2 Pb 0.5000 0.5000 0.2707  4 Au 3.15, 4 Cd 3.33, 1 Pb 3.45
3 Pb 0.5000 0.5000 0.7293  4 Au 3.15, 4 Cd 3.33, 1 Pb 3.45
4 Au 0.0000 0.0000 0.5000  8 Pb 3.15

***

Entry 8:
# Li2Ag4Cl9

A geometry-optimized Li2Ag4Cl9 structure (PBE, Alexandria via LeMat-Bulk).

Summary:
As for the formation energy from raw total energies: -1041.2 kJ/mol of formula units.

abc: 6.4885 6.7627 18.4450
angles: 97.62 90.08 118.64
Closest atoms and distances in Å follow each position.
Fractional coordinates of all 30 atoms:
1 Li 0.0205 0.4947 0.3470  5 Cl 2.41-2.67
2 Li 0.0303 0.5078 0.1512  5 Cl 2.41-2.69
3 Li 0.9697 0.4922 0.8488  5 Cl 2.41-2.69
4 Li 0.9795 0.5053 0.6530  5 Cl 2.41-2.67
5 Ag 0.3179 0.1636 0.5113  4 Cl 2.50-2.57
6 Ag 0.3404 0.1855 0.3187  4 Cl 2.46-2.59
7 Ag 0.3451 0.1863 0.8180  4 Cl 2.46-2.60
8 Ag 0.3458 0.1643 0.0112  4 Cl 2.51-2.57
9 Ag 0.6542 0.8357 0.9888  4 Cl 2.51-2.57
10 Ag 0.6549 0.8137 0.1820  4 Cl 2.46-2.60
11 Ag 0.6596 0.8145 0.6813  4 Cl 2.46-2.59
12 Ag 0.6821 0.8364 0.4887  4 Cl 2.50-2.57
13 Cl 0.0067 0.8453 0.9234  1 Li 2.50, 2 Ag 2.56-2.57
14 Cl 0.0092 0.8419 0.2422  2 Ag 2.46-2.52, 1 Li 2.69
15 Cl 0.0510 0.1855 0.4156  2 Ag 2.54-2.59, 1 Li 2.67
16 Cl 0.2687 0.4992 0.2497  2 Li 2.41
17 Cl 0.3330 0.4881 0.5984  2 Ag 2.50-2.51, 1 Li 2.55
18 Cl 0.3343 0.8436 0.7412  2 Ag 2.46-2.52, 1 Li 2.67
19 Cl 0.3372 0.8443 0.4236  1 Li 2.50, 2 Ag 2.56-2.57
20 Cl 0.3437 0.5115 0.9015  2 Ag 2.51-2.52, 1 Li 2.55
21 Cl 0.3663 0.8153 0.0846  2 Ag 2.54-2.60, 1 Li 2.63
22 Cl 0.6337 0.1847 0.9154  2 Ag 2.54-2.60, 1 Li 2.63
23 Cl 0.6563 0.4885 0.0985  2 Ag 2.51-2.52, 1 Li 2.55
24 Cl 0.6628 0.1557 0.5764  1 Li 2.50, 2 Ag 2.56-2.57
25 Cl 0.6657 0.1564 0.2588  2 Ag 2.46-2.52, 1 Li 2.67
26 Cl 0.6670 0.5119 0.4016  2 Ag 2.50-2.51, 1 Li 2.55
27 Cl 0.7313 0.5008 0.7503  2 Li 2.41
28 Cl 0.9490 0.8145 0.5844  2 Ag 2.54-2.59, 1 Li 2.67
29 Cl 0.9908 0.1581 0.7578  2 Ag 2.46-2.52, 1 Li 2.69
30 Cl 0.9933 0.1547 0.0766  1 Li 2.50, 2 Ag 2.56-2.57

***

Entry 9:
# CaSc2Ru

A geometry-optimized CaSc2Ru structure (PBE, Alexandria via LeMat-Bulk).

Summary:
The value obtained for the energy above the most stable polymorph in this dataset is 4.68 kcal/mol of atoms.

abc: 3.5634 3.5247 7.6605
angles: 90.00 90.12 90.00
Closest atoms and distances in Å follow each position.
Fractional coordinates of all 4 atoms:
1 Ca 0.0000 0.0000 0.0000  1 Sc 3.11, 4 Ru 3.32-3.34
2 Sc 0.0028 0.0000 0.5944  4 Ru 2.67
3 Sc 0.5016 0.5000 0.3494  1 Ru 2.79
4 Ru 0.5030 0.5000 0.7136  5 Sc 2.67-2.79

***

Entry 10:
# K3La3IrO8

A geometry-optimized K3La3IrO8 structure (PBE, Alexandria via LeMat-Bulk).

Summary:
As for the formation energy from raw total energies: -3222.8 kJ/mol of formula units.

abc: 7.5050 7.5050 7.5050
angles: 57.00 57.00 57.00
Closest atoms and distances in Å follow each position.
Fractional coordinates of all 15 atoms:
1 K 0.0000 0.5000 0.5000  6 O 2.83
2 K 0.5000 0.0000 0.5000  6 O 2.83
3 K 0.5000 0.5000 0.0000  6 O 2.83
4 La 0.0000 0.0000 0.5000  6 O 2.39-2.46
5 La 0.0000 0.5000 0.0000  6 O 2.39-2.46
6 La 0.5000 0.0000 0.0000  6 O 2.39-2.46
7 Ir 0.5000 0.5000 0.5000  6 O 2.12
8 O 0.2307 0.2307 0.2307  3 La 2.39
9 O 0.2645 0.7048 0.7048  1 Ir 2.12
10 O 0.2952 0.2952 0.7355  1 Ir 2.12
11 O 0.2952 0.7355 0.2952  1 Ir 2.12
12 O 0.7048 0.2645 0.7048  1 Ir 2.12
13 O 0.7048 0.7048 0.2645  1 Ir 2.12
14 O 0.7355 0.2952 0.2952  1 Ir 2.12
15 O 0.7693 0.7693 0.7693  3 La 2.39

***

For reference, VASP energy by record: -1.80, -5.77, -4.43, -6.05, -6.36, -2.52, -2.89, -2.84, -6.07, -6.67 eV per atom.